[1]
The following is a DFT calculation (PBE-GGA) of a relaxed Zr2BeZnAs crystal.

Computed properties:
DFT formation energy = 286 meV per atom

abc: 5.0077 5.0077 3.9603
angles: 90.00 90.00 90.00
Closest atoms and distances in Å follow each position.
Space group P4/mmm (No. 123)
One atom of each set of equivalent atoms:
Zr  0.0000  0.5000  0.0000 x2  2 Zn 2.50
Be  0.0000  0.0000  0.5000 x1  2 Zn 1.98
Zn  0.0000  0.0000  0.0000 x1  2 Be 1.98
As  0.5000  0.5000  0.5000 x1  8 Zr 3.19, 4 Be 3.54

=====

[2]
The following is a DFT calculation (PBE-GGA) of a relaxed Zr4BeAs crystal.

Computed properties:
DFT formation energy = 547 meV per atom

abc: 8.0097 8.0097 8.0097
angles: 90.00 90.00 90.00
Closest atoms and distances in Å follow each position.
Space group F-43m (No. 216)
One atom of each set of equivalent atoms:
Zr  0.1238  0.1238  0.3762 x16  6 Zr 2.81-2.86
Be  0.2500  0.2500  0.7500 x4  12 Zr 3.32, 4 As 3.47
As  0.0000  0.0000  0.0000 x4  12 Zr 3.32, 4 Be 3.47

=====

[3]
The following is a DFT calculation (PBE-GGA) of a relaxed Zr2BeAs2 crystal.

Computed properties:
DFT formation energy = -508 meV per atom

abc: 7.0390 7.0390 3.6680
angles: 90.00 90.00 90.00
Closest atoms and distances in Å follow each position.
Space group P4/mbm (No. 127)
One atom of each set of equivalent atoms:
Zr  0.1496  0.3504  0.0000 x4  6 As 2.69-2.81, 1 Zr 2.98
Be  0.0000  0.0000  0.5000 x2  4 As 2.67
As  0.1529  0.6529  0.5000 x4  2 Be 2.67, 6 Zr 2.69-2.81

=====

[4]
The following is a DFT calculation (PBE-GGA) of a relaxed Zr3BeAs2 crystal.

Computed properties:
DFT formation energy = -882 meV per atom

abc: 10.7484 3.7531 10.4407
angles: 90.00 90.00 90.00
Closest atoms and distances in Å follow each position.
Space group Pnma (No. 62)
One atom of each set of equivalent atoms:
Zr  0.0495  0.2500  0.1213 x4  5 As 2.75-2.90, 1 Be 2.77
Zr  0.1174  0.7500  0.5622 x4  3 Be 2.72, 5 As 2.76-2.84
Zr  0.2137  0.2500  0.7871 x4  2 Be 2.69, 4 As 2.78-2.88
Be  0.1281  0.2500  0.3743 x4  3 As 2.27-2.28
As  0.0258  0.7500  0.3121 x4  2 Be 2.27
As  0.1953  0.7500  0.9955 x4  1 Be 2.28

=====

[5]
The following is a DFT calculation (PBE-GGA) of a relaxed ZrBe2As2 crystal.

Computed properties:
DFT formation energy = -265 meV per atom

abc: 3.5057 3.5057 12.3167
angles: 90.00 90.00 90.00
Closest atoms and distances in Å follow each position.
Space group I4/mmm (No. 139)
One atom of each set of equivalent atoms:
Zr  0.0000  0.0000  0.0000 x2  8 As 2.92
Be  0.0000  0.5000  0.2500 x4  4 As 2.33, 4 Be 2.48
As  0.0000  0.0000  0.3741 x4  4 Be 2.33

=====

[6]
The following is a DFT calculation (PBE-GGA) of a relaxed Zr2Be2As crystal.

Computed properties:
DFT formation energy = -404 meV per atom

abc: 6.3166 6.3166 3.8170
angles: 90.00 90.00 90.00
Closest atoms and distances in Å follow each position.
Space group P4/mbm (No. 127)
One atom of each set of equivalent atoms:
Zr  0.1768  0.3232  0.0000 x4  6 Be 2.66-2.69
Be  0.1163  0.6163  0.5000 x4  1 Be 2.08
As  0.0000  0.0000  0.5000 x2  4 Be 2.53

=====

[7]
The following is a DFT calculation (PBE-GGA) of a relaxed ZrBeAs3 crystal.

Computed properties:
offset from the most stable computed form = 0 kJ/mol of formula units
DFT formation energy = 223 meV per atom

abc: 4.5160 4.5160 4.5160
angles: 90.00 90.00 90.00
Closest atoms and distances in Å follow each position.
Space group Pm-3m (No. 221)
One atom of each set of equivalent atoms:
Zr  0.0000  0.0000  0.0000 x1  12 As 3.19
Be  0.5000  0.5000  0.5000 x1  6 As 2.26
As  0.0000  0.5000  0.5000 x3  2 Be 2.26

=====

[8]
The following is a DFT calculation (PBE-GGA) of a relaxed ZrBeAs crystal.

Computed properties:
offset from the most stable computed form = 200 kJ/mol of formula units
DFT formation energy = 152 meV per atom

abc: 3.1197 3.1197 6.1794
angles: 90.00 90.00 120.00
Closest atoms and distances in Å follow each position.
Space group P3m1 (No. 156)
One atom of each set of equivalent atoms:
Zr  0.0000  0.0000  0.0000 x1  3 Be 2.88, 3 As 2.94, 6 Zr 3.12
Be  0.3333  0.6667  0.6357 x1  3 As 2.41
As  0.6667  0.3333  0.3760 x1  3 Be 2.41

=====

[9]
The following is a DFT calculation (PBE-GGA) of a relaxed ZrBeAs3 crystal.

Computed properties:
offset from the most stable computed form = 256 kJ/mol of formula units
DFT formation energy = 753 meV per atom

abc: 5.1639 5.1639 5.1639
angles: 90.00 90.00 90.00
Closest atoms and distances in Å follow each position.
Space group Pm-3m (No. 221)
One atom of each set of equivalent atoms:
Zr  0.0000  0.0000  0.0000 x1  6 As 2.58
Be  0.5000  0.5000  0.5000 x1  12 As 3.65
As  0.0000  0.0000  0.5000 x3  2 Zr 2.58

=====

[10]
The following is a DFT calculation (PBE-GGA) of a relaxed ZrBeAs crystal.

Computed properties:
offset from the most stable computed form = 0 kJ/mol of formula units
DFT formation energy = -539 meV per atom

abc: 3.7962 3.7962 3.6816
angles: 90.00 90.00 120.00
Closest atoms and distances in Å follow each position.
Space group P-6m2 (No. 187)
One atom of each set of equivalent atoms:
Zr  0.0000  0.0000  0.0000 x1  6 As 2.86, 6 Be 2.86
Be  0.6667  0.3333  0.5000 x1  3 As 2.19
As  0.3333  0.6667  0.5000 x1  3 Be 2.19

=====

[11]
The following is a DFT calculation (PBE-GGA) of a relaxed ZrBeAs crystal.

Computed properties:
offset from the most stable computed form = 165 kJ/mol of formula units
DFT formation energy = 30 meV per atom

abc: 5.8329 5.8329 5.8329
angles: 90.00 90.00 90.00
Closest atoms and distances in Å follow each position.
Space group F-43m (No. 216)
One atom of each set of equivalent atoms:
Zr  0.0000  0.0000  0.0000 x4  4 Be 2.53
Be  0.2500  0.2500  0.2500 x4  4 Zr 2.53, 4 As 2.53
As  0.0000  0.0000  0.5000 x4  4 Be 2.53

=====

[12]
The following is a DFT calculation (PBE-GGA) of a relaxed ZrBeAs crystal.

Computed properties:
offset from the most stable computed form = 92 kJ/mol of formula units
DFT formation energy = -222 meV per atom

abc: 3.2125 3.2125 9.3156
angles: 90.00 90.00 90.00
Closest atoms and distances in Å follow each position.
Space group I4mm (No. 107)
One atom of each set of equivalent atoms:
Zr  0.0000  0.0000  0.0000 x2  5 As 2.78-2.94, 5 Be 2.85-2.90
Be  0.0000  0.0000  0.3059 x2  4 As 2.47
As  0.0000  0.0000  0.7012 x2  4 Be 2.47

=====

[13]
The following is a DFT calculation (PBE-GGA) of a relaxed ZrBeAs crystal.

Computed properties:
offset from the most stable computed form = 42 kJ/mol of formula units
DFT formation energy = -394 meV per atom

abc: 5.2278 5.5242 13.9730
angles: 90.00 90.00 90.00
Closest atoms and distances in Å follow each position.
Space group Fmmm (No. 69)
One atom of each set of equivalent atoms:
Zr  0.0000  0.0000  0.1788 x8  5 As 2.73-2.87, 2 Be 2.73
Be  0.2095  0.0000  0.0000 x8  1 Be 2.19, 2 As 2.30
As  0.0000  0.0000  0.3766 x8  2 Be 2.30

=====

[14]
The following is a DFT calculation (PBE-GGA) of a relaxed ZrBeAs crystal.

Computed properties:
offset from the most stable computed form = 72 kJ/mol of formula units
DFT formation energy = -291 meV per atom

abc: 3.9013 5.2707 9.5633
angles: 90.00 90.00 90.00
Closest atoms and distances in Å follow each position.
Space group Fmm2 (No. 42)
One atom of each set of equivalent atoms:
Zr  0.0000  0.0000  0.0000 x4  2 Be 2.62, 3 As 2.71-2.90
Be  0.0000  0.0000  0.3170 x4  2 As 2.26
As  0.0000  0.0000  0.6967 x4  2 Be 2.26

=====

[15]
The following is a DFT calculation (PBE-GGA) of a relaxed BiAs crystal.

Computed properties:
offset from the most stable computed form = 3 kJ/mol of formula units
DFT formation energy = 17 meV per atom

abc: 6.0333 6.0333 6.0333
angles: 90.00 90.00 90.00
Closest atoms and distances in Å follow each position.
Space group Fm-3m (No. 225)
One atom of each set of equivalent atoms:
Bi  0.0000  0.0000  0.0000 x4  6 As 3.02
As  0.0000  0.0000  0.5000 x4  6 Bi 3.02

=====

[16]
The following is a DFT calculation (PBE-GGA) of a relaxed Bi3As2 crystal.

Computed properties:
DFT formation energy = 238 meV per atom

abc: 7.9697 7.9697 16.8379
angles: 90.00 90.00 120.00
Closest atoms and distances in Å follow each position.
Space group R-3c (No. 167, hexagonal axes)
One atom of each set of equivalent atoms:
Bi  0.0000  0.2721  0.2500 x18  4 As 3.02
As  0.0000  0.0000  0.1255 x12  6 Bi 3.02

=====

[17]
The following is a DFT calculation (PBE-GGA) of a relaxed BiAs crystal.

Computed properties:
offset from the most stable computed form = 0 kJ/mol of formula units
DFT formation energy = 0 meV per atom

abc: 4.2398 18.1799 4.4282
angles: 90.00 90.00 90.00
Closest atoms and distances in Å follow each position.
Space group Pmmn (No. 59, origin choice 2)
One atom of each set of equivalent atoms:
Bi  0.2500  0.0862  0.2029 x4  4 As 2.84-3.12
Bi  0.2500  0.7500  0.2882 x2  4 As 2.87-3.00
As  0.2500  0.2500  0.2763 x2  4 Bi 2.87-3.00
As  0.2500  0.5856  0.2253 x4  4 Bi 2.84-3.12

=====

[18]
The following is a DFT calculation (PBE-GGA) of a relaxed Bi3As crystal.

Computed properties:
offset from the most stable computed form = 41 kJ/mol of formula units
DFT formation energy = 148 meV per atom

abc: 3.7790 9.0229 7.2614
angles: 90.00 90.00 90.00
Closest atoms and distances in Å follow each position.
Space group Imm2 (No. 44)
One atom of each set of equivalent atoms:
Bi  0.0000  0.0000  0.0000 x2  6 Bi 3.24-3.47, 2 As 3.63
Bi  0.0000  0.1935  0.6238 x4  2 As 2.94, 1 Bi 3.24
As  0.0000  0.5000  0.9265 x2  4 Bi 2.94

=====

[19]
The following is a DFT calculation (PBE-GGA) of a relaxed Bi4As crystal.

Computed properties:
DFT formation energy = 519 meV per atom

abc: 5.5805 5.5805 5.5805
angles: 90.00 90.00 90.00
Closest atoms and distances in Å follow each position.
Space group Pm-3m (No. 221)
One atom of each set of equivalent atoms:
Bi  0.0000  0.0000  0.0000 x1  12 Bi 3.95
Bi  0.0000  0.5000  0.5000 x3  2 As 2.79
As  0.5000  0.5000  0.5000 x1  6 Bi 2.79

=====

[20]
The following is a DFT calculation (PBE-GGA) of a relaxed BiAs crystal.

Computed properties:
offset from the most stable computed form = 45 kJ/mol of formula units
DFT formation energy = 233 meV per atom

abc: 12.5872 12.5872 5.1209
angles: 90.00 90.00 90.00
Closest atoms and distances in Å follow each position.
Space group P4/m (No. 83)
One atom of each set of equivalent atoms:
Bi  0.0959  0.2737  0.0000 x4  4 As 2.85-2.93
Bi  0.1063  0.6134  0.5000 x4  4 As 2.86-2.92
As  0.1210  0.3816  0.5000 x4  4 Bi 2.86-2.92
As  0.1305  0.7203  0.0000 x4  4 Bi 2.85-2.93